! PCl | Alexandria | PBE | optimized geometry; values from VASP
&SYSTEM
  ibrav = 0, nat = 4, ntyp = 2
/
ATOMIC_SPECIES
P 30.97 P.upf
Cl 35.45 Cl.upf
CELL_PARAMETERS angstrom
3.382 0.024 -0.009
1.340 5.520 -0.012
0.486 2.600 6.453
ATOMIC_POSITIONS crystal
P 0.213 0.442 0.347
P 0.700 0.553 0.115
Cl 0.358 0.039 0.477
Cl 0.832 0.278 0.980
! DFT total energy in eV for the cell shown: -15.95
! Crystal system: triclinic
! Space group: No. 1
! E_form (uncorrected) in eV/atom: -0.359
! Magnetic moment in Bohr magnetons per cell: 0.00